5
Lattice="5.256 0.000 0.000 0.000 5.256 0.000 0.000 0.000 4.405" Properties=species:S:1:pos:R:3 comment="KPRhCl2, optimized geometry, DFT PBE" e_form_raw_ev_per_atom=-0.604 de_polymorph_ev_per_fu=0.00 pbc="T T T"
K 0.000 0.000 0.000
P 2.628 2.628 0.000
Rh 2.628 2.628 2.202
Cl 0.000 2.628 2.202
Cl 2.628 0.000 2.202

=====

18
Lattice="3.807 2.198 6.339 -3.807 2.198 6.339 0.000 -4.396 6.339" Properties=species:S:1:pos:R:3 comment="Ba2PaTa3O12, optimized geometry, DFT PBE" e_form_raw_ev_per_atom=-3.044 pbc="T T T"
Ba 0.000 0.000 3.579
Ba 0.000 0.000 15.438
Pa 0.000 0.000 9.509
Ta -1.904 -1.099 6.339
Ta -1.904 1.099 12.678
Ta 0.000 2.198 6.339
O -1.586 -0.916 8.321
O 0.000 -1.573 5.980
O -1.363 0.787 5.980
O 0.000 -1.831 10.697
O -1.586 0.916 10.697
O -1.363 -0.787 13.037
O 1.363 0.787 5.980
O 1.586 -0.916 8.321
O 0.000 1.831 8.321
O 1.363 -0.787 13.037
O 0.000 1.573 13.037
O 1.586 0.916 10.697

=====

6
Lattice="4.901 0.000 0.000 0.000 3.893 0.000 -1.457 0.000 7.366" Properties=species:S:1:pos:R:3 comment="CaMnSe, optimized geometry, DFT PBE" e_form_raw_ev_per_atom=-0.601 de_polymorph_ev_per_fu=0.52 pbc="T T T"
Ca 0.000 0.000 0.000
Ca 0.986 0.000 4.391
Mn 2.266 1.947 1.796
Mn 3.306 0.000 2.585
Se -0.069 1.947 2.386
Se 0.950 1.947 6.640

=====

10
Lattice="6.889 0.000 0.000 0.000 6.889 0.000 0.000 0.000 3.341" Properties=species:S:1:pos:R:3 comment="TaAl2Mo2, optimized geometry, DFT PBE" ef_ev_per_atom=-0.14 pbc="T T T"
Ta 0.000 0.000 0.000
Ta 3.445 3.445 0.000
Al 0.873 2.572 0.000
Al 2.572 6.016 0.000
Al 4.318 0.873 0.000
Al 6.016 4.318 0.000
Mo 1.197 4.641 1.671
Mo 2.248 1.197 1.671
Mo 4.641 5.693 1.671
Mo 5.693 2.248 1.671

=====

18
Lattice="7.817 -4.023 0.000 7.817 4.023 0.000 0.000 0.000 7.996" Properties=species:S:1:pos:R:3 comment="Tm5Hg2Bi2, optimized geometry, DFT PBE" ef_ev_per_atom=-0.57 pbc="T T T"
Tm 0.000 0.000 0.000
Tm 5.791 2.686 5.313
Tm 5.791 1.337 1.315
Tm 9.844 2.686 5.313
Tm 9.844 1.337 1.315
Tm 7.817 0.000 3.998
Tm 5.791 -1.337 6.680
Tm 5.791 -2.686 2.682
Tm 9.844 -1.337 6.680
Tm 9.844 -2.686 2.682
Hg 7.817 2.937 2.935
Hg 7.817 1.086 6.933
Hg 7.817 -1.086 1.063
Hg 7.817 -2.937 5.061
Bi 3.239 0.000 0.000
Bi 4.578 0.000 3.998
Bi 11.057 0.000 3.998
Bi 12.395 0.000 0.000

=====

4
Lattice="2.750 0.000 0.000 0.000 4.578 0.000 -0.909 0.000 6.456" Properties=species:S:1:pos:R:3 comment="KNi2Ag, optimized geometry, DFT PBE" ef_ev_per_atom=0.56 de_polymorph_ev_per_fu=0.61 pbc="T T T"
K 0.000 0.000 0.000
Ni 0.168 2.289 4.198
Ni 1.673 2.289 2.258
Ag 0.921 0.000 3.228

=====

4
Lattice="4.154 0.000 0.000 0.000 1.921 5.522 0.000 -1.921 5.522" Properties=species:S:1:pos:R:3 comment="PuPaIrPt, optimized geometry, DFT PBE" ef_ev_per_atom=-0.80 de_polymorph_ev_per_fu=0.00 pbc="T T T"
Pu 0.000 0.000 0.000
Pa 2.077 0.000 3.028
Ir 0.000 0.000 8.192
Pt 2.077 0.000 6.047

=====

7
Lattice="2.670 1.541 8.681 -2.670 1.541 8.681 0.000 -3.083 8.681" Properties=species:S:1:pos:R:3 comment="Pm4Cd2Sn, optimized geometry, DFT PBE" ef_ev_per_atom=-0.26 pbc="T T T"
Pm 0.000 0.000 3.102
Pm 0.000 0.000 9.671
Pm 0.000 0.000 16.373
Pm 0.000 0.000 22.943
Cd 0.000 0.000 6.501
Cd 0.000 0.000 19.544
Sn 0.000 0.000 13.022

=====

| no. | V (Å³ per atom) | total moment (μB per formula unit) |
| --- | --- | --- |
| 1 | 24.335 | 0.0 |
| 2 | 17.684 | 0.0 |
| 3 | 23.424 | 0.0 |
| 4 | 15.858 | 0.0 |
| 5 | 27.943 | 0.0 |
| 6 | 20.315 | 0.9 |
| 7 | 22.026 | 5.5 |
| 8 | 30.625 | 0.0 |